Here is crystalline Ge19Sb4Br4 at its relaxed geometry from Alexandria. Energies are from PBEsol.

a = 10.773 Å, b = 10.773 Å, c = 10.773 Å
α = 90.00°, β = 90.00°, γ = 90.00°
Fractional coordinates of all 54 atoms:
Ge: 0.000 0.250 0.500
Ge: 0.000 0.750 0.500
Ge: 0.010 0.114 0.683
Ge: 0.010 0.886 0.317
Ge: 0.114 0.317 0.990
Ge: 0.114 0.683 0.010
Ge: 0.177 0.177 0.823
Ge: 0.177 0.823 0.177
Ge: 0.183 0.386 0.490
Ge: 0.183 0.614 0.510
Ge: 0.250 0.500 0.000
Ge: 0.317 0.010 0.886
Ge: 0.317 0.990 0.114
Ge: 0.323 0.323 0.323
Ge: 0.323 0.677 0.677
Ge: 0.386 0.490 0.183
Ge: 0.386 0.510 0.817
Ge: 0.490 0.183 0.386
Ge: 0.490 0.817 0.614
Ge: 0.500 0.000 0.250
Ge: 0.500 0.000 0.750
Ge: 0.510 0.183 0.614
Ge: 0.510 0.817 0.386
Ge: 0.614 0.490 0.817
Ge: 0.614 0.510 0.183
Ge: 0.677 0.323 0.677
Ge: 0.677 0.677 0.323
Ge: 0.683 0.010 0.114
Ge: 0.683 0.990 0.886
Ge: 0.750 0.500 0.000
Ge: 0.817 0.386 0.510
Ge: 0.817 0.614 0.490
Ge: 0.823 0.177 0.177
Ge: 0.823 0.823 0.823
Ge: 0.886 0.317 0.010
Ge: 0.886 0.683 0.990
Ge: 0.990 0.114 0.317
Ge: 0.990 0.886 0.683
Sb: 0.183 0.183 0.183
Sb: 0.183 0.817 0.817
Sb: 0.317 0.317 0.683
Sb: 0.317 0.683 0.317
Sb: 0.683 0.317 0.317
Sb: 0.683 0.683 0.683
Sb: 0.817 0.183 0.817
Sb: 0.817 0.817 0.183
Br: 0.000 0.000 0.000
Br: 0.000 0.500 0.250
Br: 0.000 0.500 0.750
Br: 0.250 0.000 0.500
Br: 0.500 0.250 0.000
Br: 0.500 0.500 0.500
Br: 0.500 0.750 0.000
Br: 0.750 0.000 0.500

Values from the calculation:
Energy relative to the elements, uncorrected, meV per atom: -132.9
SG: No. 218

=====

Here is crystalline GeSbSe2Br at its relaxed geometry from Alexandria. Energies are from PBEsol.

a = 5.017 Å, b = 5.017 Å, c = 4.923 Å
α = 90.00°, β = 90.00°, γ = 90.00°
Fractional coordinates of all 5 atoms:
Ge: 0.000 0.000 0.000
Sb: 0.500 0.500 0.500
Se: 0.000 0.500 0.000
Se: 0.500 0.000 0.000
Br: 0.000 0.000 0.500

Values from the calculation:
Energy relative to the elements, uncorrected, meV per atom: 201.0
SG: No. 123

=====

Here is crystalline ScGeSeBr2 at its relaxed geometry from Alexandria. Energies are from PBEsol.

a = 5.124 Å, b = 5.124 Å, c = 5.193 Å
α = 90.00°, β = 90.00°, γ = 90.00°
Fractional coordinates of all 5 atoms:
Sc: 0.000 0.000 0.000
Ge: 0.500 0.500 0.500
Se: 0.000 0.000 0.500
Br: 0.000 0.500 0.000
Br: 0.500 0.000 0.000

Values from the calculation:
Energy relative to the elements, uncorrected, meV per atom: -579.0
SG: No. 123

=====

Here is crystalline Sc2SnGeBr at its relaxed geometry from Alexandria. Energies are from PBEsol.

a = 5.182 Å, b = 5.182 Å, c = 4.989 Å
α = 90.00°, β = 90.00°, γ = 90.00°
Fractional coordinates of all 5 atoms:
Sc: 0.000 0.500 0.000
Sc: 0.500 0.000 0.000
Sn: 0.000 0.000 0.500
Ge: 0.500 0.500 0.000
Br: 0.500 0.500 0.500

Values from the calculation:
Energy relative to the elements, uncorrected, meV per atom: 28.0
SG: No. 123

=====

Here is crystalline ScZnGe2Br at its relaxed geometry from Alexandria. Energies are from PBEsol.

a = 5.183 Å, b = 5.183 Å, c = 5.313 Å
α = 90.00°, β = 90.00°, γ = 90.00°
Fractional coordinates of all 5 atoms:
Sc: 0.000 0.000 0.000
Zn: 0.000 0.000 0.500
Ge: 0.000 0.500 0.000
Ge: 0.500 0.000 0.000
Br: 0.500 0.500 0.500

Values from the calculation:
Energy relative to the elements, uncorrected, meV per atom: 608.3
SG: No. 123

=====

Here is crystalline TcGeSeBr2 at its relaxed geometry from Alexandria. Energies are from PBEsol.

a = 5.045 Å, b = 5.045 Å, c = 4.684 Å
α = 90.00°, β = 90.00°, γ = 90.00°
Fractional coordinates of all 5 atoms:
Tc: 0.000 0.000 0.000
Ge: 0.500 0.500 0.500
Se: 0.000 0.000 0.500
Br: 0.000 0.500 0.000
Br: 0.500 0.000 0.000

Values from the calculation:
Energy relative to the elements, uncorrected, meV per atom: 406.1
Energy above the lowest structure with this stoichiometry, meV/atom: 0
SG: No. 123